(1)
A plane-wave DFT calculation with PBE-GGA was carried out for a geometry-optimized Ag5BiPd4 structure.

Properties
Spin magnetization in μB per formula unit: 0.0
Energy of formation from the pure elements in eV/atom: -0.01
Offset from the most stable computed form in kJ/mol of formula units: 0

Cell and atoms, written as CIF:
```
data_Ag5BiPd4
_chemical_formula_sum 'Ag10 Bi2 Pd8'
_space_group_name_H-M_alt 'C 1 2/m 1'
_space_group_IT_number 12
_cell_length_a 13.983
_cell_length_b 4.343
_cell_length_c 7.016
_cell_angle_alpha 90.00
_cell_angle_beta 117.65
_cell_angle_gamma 90.00
loop_
_space_group_symop_operation_xyz
'x,y,z'
'-x,-y,-z'
'-x,y,-z'
'x,-y,z'
'x+1/2,y+1/2,z'
'-x+1/2,-y+1/2,-z'
'-x+1/2,y+1/2,-z'
'x+1/2,-y+1/2,z'
loop_
_atom_site_label
_atom_site_type_symbol
_atom_site_fract_x
_atom_site_fract_y
_atom_site_fract_z
Ag1 Ag 0.000 0.000 0.000
Ag2 Ag 0.157 0.500 0.191
Ag3 Ag 0.197 0.500 0.624
Bi1 Bi 0.000 0.000 0.500
Pd1 Pd 0.026 0.500 0.750
Pd2 Pd 0.179 0.000 0.920
```

---

(2)
A plane-wave DFT calculation with PBE-GGA was carried out for a geometry-optimized AgBiPd6 structure.

Properties
Spin magnetization in μB per formula unit: 0.0
Energy of formation from the pure elements in eV/atom: -0.05
Offset from the most stable computed form in kJ/mol of formula units: 75

Cell and atoms, written as CIF:
```
data_AgBiPd6
_chemical_formula_sum 'Ag1 Bi1 Pd6'
_space_group_name_H-M_alt 'P -1'
_space_group_IT_number 2
_cell_length_a 5.190
_cell_length_b 5.219
_cell_length_c 5.231
_cell_angle_alpha 95.03
_cell_angle_beta 95.35
_cell_angle_gamma 95.55
loop_
_space_group_symop_operation_xyz
'x,y,z'
'-x,-y,-z'
loop_
_atom_site_label
_atom_site_type_symbol
_atom_site_fract_x
_atom_site_fract_y
_atom_site_fract_z
Ag1 Ag 0.000 0.000 0.000
Bi1 Bi 0.500 0.500 0.500
Pd1 Pd 0.043 0.453 0.753
Pd2 Pd 0.247 0.954 0.549
Pd3 Pd 0.453 0.752 0.045
```

---

(3)
A plane-wave DFT calculation with PBE-GGA was carried out for a geometry-optimized Ag3BiPd7 structure.

Properties
Spin magnetization in μB per formula unit: 0.0
Energy of formation from the pure elements in eV/atom: 0.12

Cell and atoms, written as CIF:
```
data_Ag3BiPd7
_chemical_formula_sum 'Ag6 Bi2 Pd14'
_space_group_name_H-M_alt 'C 1 2/m 1'
_space_group_IT_number 12
_cell_length_a 9.505
_cell_length_b 9.280
_cell_length_c 5.181
_cell_angle_alpha 90.00
_cell_angle_beta 115.36
_cell_angle_gamma 90.00
loop_
_space_group_symop_operation_xyz
'x,y,z'
'-x,-y,-z'
'-x,y,-z'
'x,-y,z'
'x+1/2,y+1/2,z'
'-x+1/2,-y+1/2,-z'
'-x+1/2,y+1/2,-z'
'x+1/2,-y+1/2,z'
loop_
_atom_site_label
_atom_site_type_symbol
_atom_site_fract_x
_atom_site_fract_y
_atom_site_fract_z
Ag1 Ag 0.000 0.000 0.000
Ag2 Ag 0.000 0.201 0.500
Bi1 Bi 0.000 0.500 0.000
Pd1 Pd 0.000 0.500 0.500
Pd2 Pd 0.175 0.245 0.173
Pd3 Pd 0.221 0.000 0.533
```

---

(4)
A plane-wave DFT calculation with PBE-GGA was carried out for a geometry-optimized Ag2BiPd6 structure.

Properties
Spin magnetization in μB per formula unit: 0.0
Energy of formation from the pure elements in eV/atom: 0.08
Offset from the most stable computed form in kJ/mol of formula units: 96

Cell and atoms, written as CIF:
```
data_Ag2BiPd6
_chemical_formula_sum 'Ag4 Bi2 Pd12'
_space_group_name_H-M_alt 'C m m m'
_space_group_IT_number 65
_space_group_name_Hall '-C 2 2'
_cell_length_a 6.713
_cell_length_b 13.690
_cell_length_c 3.587
_cell_angle_alpha 90.00
_cell_angle_beta 90.00
_cell_angle_gamma 90.00
loop_
_atom_site_label
_atom_site_type_symbol
_atom_site_fract_x
_atom_site_fract_y
_atom_site_fract_z
Ag1 Ag 0.000 0.226 0.000
Bi1 Bi 0.000 0.000 0.500
Pd1 Pd 0.194 0.500 0.000
Pd2 Pd 0.208 0.349 0.500
```

---

(5)
A plane-wave DFT calculation with PBE-GGA was carried out for a geometry-optimized AgBi7Pd4 structure.

Properties
Spin magnetization in μB per formula unit: 0.0
Energy of formation from the pure elements in eV/atom: -0.09

Cell and atoms, written as CIF:
```
data_AgBi7Pd4
_chemical_formula_sum 'Ag2 Bi14 Pd8'
_space_group_name_H-M_alt 'C 1 2/m 1'
_space_group_IT_number 12
_cell_length_a 14.294
_cell_length_b 5.350
_cell_length_c 10.279
_cell_angle_alpha 90.00
_cell_angle_beta 128.50
_cell_angle_gamma 90.00
loop_
_space_group_symop_operation_xyz
'x,y,z'
'-x,-y,-z'
'-x,y,-z'
'x,-y,z'
'x+1/2,y+1/2,z'
'-x+1/2,-y+1/2,-z'
'-x+1/2,y+1/2,-z'
'x+1/2,-y+1/2,z'
loop_
_atom_site_label
_atom_site_type_symbol
_atom_site_fract_x
_atom_site_fract_y
_atom_site_fract_z
Ag1 Ag 0.000 0.000 0.000
Bi1 Bi 0.000 0.500 0.000
Bi2 Bi 0.066 0.000 0.326
Bi3 Bi 0.156 0.500 0.584
Bi4 Bi 0.220 0.000 0.871
Pd1 Pd 0.066 0.500 0.770
Pd2 Pd 0.214 0.500 0.348
```

---

(6)
A plane-wave DFT calculation with PBE-GGA was carried out for a geometry-optimized AgBiPd2 structure.

Properties
Spin magnetization in μB per formula unit: 0.0
Energy of formation from the pure elements in eV/atom: 0.03

Cell and atoms, written as CIF:
```
data_AgBiPd2
_chemical_formula_sum 'Ag4 Bi4 Pd8'
_space_group_name_H-M_alt 'I -4 2 d'
_space_group_IT_number 122
_space_group_name_Hall 'I -4 2bw'
_cell_length_a 7.503
_cell_length_b 7.503
_cell_length_c 5.749
_cell_angle_alpha 90.00
_cell_angle_beta 90.00
_cell_angle_gamma 90.00
loop_
_atom_site_label
_atom_site_type_symbol
_atom_site_fract_x
_atom_site_fract_y
_atom_site_fract_z
Ag1 Ag 0.000 0.000 0.000
Bi1 Bi 0.000 0.000 0.500
Pd1 Pd 0.249 0.250 0.625
```

---

(7)
A plane-wave DFT calculation with PBE-GGA was carried out for a geometry-optimized AgBi3Pd structure.

Properties
Spin magnetization in μB per formula unit: 0.0
Energy of formation from the pure elements in eV/atom: -0.03
Offset from the most stable computed form in kJ/mol of formula units: 0

Cell and atoms, written as CIF:
```
data_AgBi3Pd
_chemical_formula_sum 'Ag4 Bi12 Pd4'
_space_group_name_H-M_alt 'C 1 2/m 1'
_space_group_IT_number 12
_cell_length_a 10.486
_cell_length_b 9.225
_cell_length_c 6.981
_cell_angle_alpha 90.00
_cell_angle_beta 125.56
_cell_angle_gamma 90.00
loop_
_space_group_symop_operation_xyz
'x,y,z'
'-x,-y,-z'
'-x,y,-z'
'x,-y,z'
'x+1/2,y+1/2,z'
'-x+1/2,-y+1/2,-z'
'-x+1/2,y+1/2,-z'
'x+1/2,-y+1/2,z'
loop_
_atom_site_label
_atom_site_type_symbol
_atom_site_fract_x
_atom_site_fract_y
_atom_site_fract_z
Ag1 Ag 0.049 0.000 0.242
Bi1 Bi 0.103 0.500 0.369
Bi2 Bi 0.186 0.196 0.734
Pd1 Pd 0.228 0.500 0.871
```

---

(8)
A plane-wave DFT calculation with PBE-GGA was carried out for a geometry-optimized Ag5BiPd4 structure.

Properties
Spin magnetization in μB per formula unit: 0.0
Energy of formation from the pure elements in eV/atom: 0.04
Offset from the most stable computed form in kJ/mol of formula units: 51

Cell and atoms, written as CIF:
```
data_Ag5BiPd4
_chemical_formula_sum 'Ag10 Bi2 Pd8'
_space_group_name_H-M_alt 'P m m n'
_space_group_IT_number 59
_cell_length_a 8.334
_cell_length_b 9.618
_cell_length_c 4.922
_cell_angle_alpha 90.00
_cell_angle_beta 90.00
_cell_angle_gamma 90.00
loop_
_space_group_symop_operation_xyz
'x,y,z'
'-x,-y,-z'
'-x+1/2,-y+1/2,z'
'x+1/2,y+1/2,-z'
'x+1/2,-y,-z'
'-x+1/2,y,z'
'-x,y+1/2,-z'
'x,-y+1/2,z'
loop_
_atom_site_label
_atom_site_type_symbol
_atom_site_fract_x
_atom_site_fract_y
_atom_site_fract_z
Ag1 Ag 0.083 0.003 0.244
Ag2 Ag 0.250 0.750 0.077
Bi1 Bi 0.250 0.250 0.619
Pd1 Pd 0.070 0.750 0.565
Pd2 Pd 0.250 0.520 0.743
```

---

(9)
A plane-wave DFT calculation with PBE-GGA was carried out for a geometry-optimized AgBi6Pd3 structure.

Properties
Spin magnetization in μB per formula unit: 0.0
Energy of formation from the pure elements in eV/atom: -0.12

Cell and atoms, written as CIF:
```
data_AgBi6Pd3
_chemical_formula_sum 'Ag4 Bi24 Pd12'
_space_group_name_H-M_alt 'C m c 21'
_space_group_IT_number 36
_cell_length_a 10.157
_cell_length_b 15.226
_cell_length_c 6.771
_cell_angle_alpha 90.00
_cell_angle_beta 90.00
_cell_angle_gamma 90.00
loop_
_space_group_symop_operation_xyz
'x,y,z'
'-x,-y,z+1/2'
'-x,y,z'
'x,-y,z+1/2'
'x+1/2,y+1/2,z'
'-x+1/2,-y+1/2,z+1/2'
'-x+1/2,y+1/2,z'
'x+1/2,-y+1/2,z+1/2'
loop_
_atom_site_label
_atom_site_type_symbol
_atom_site_fract_x
_atom_site_fract_y
_atom_site_fract_z
Ag1 Ag 0.000 0.153 0.000
Bi1 Bi 0.000 0.024 0.325
Bi2 Bi 0.000 0.252 0.409
Bi3 Bi 0.176 0.485 0.399
Bi4 Bi 0.181 0.285 0.853
Pd1 Pd 0.000 0.402 0.672
Pd2 Pd 0.156 0.118 0.630
```

---

(10)
A plane-wave DFT calculation with PBE-GGA was carried out for a geometry-optimized AgBi2Pd4 structure.

Properties
Spin magnetization in μB per formula unit: 0.0
Energy of formation from the pure elements in eV/atom: -0.13
Offset from the most stable computed form in kJ/mol of formula units: 0

Cell and atoms, written as CIF:
```
data_AgBi2Pd4
_chemical_formula_sum 'Ag1 Bi2 Pd4'
_space_group_name_H-M_alt 'P 4/m m m'
_space_group_IT_number 123
_space_group_name_Hall '-P 4 2'
_cell_length_a 4.306
_cell_length_b 4.306
_cell_length_c 7.583
_cell_angle_alpha 90.00
_cell_angle_beta 90.00
_cell_angle_gamma 90.00
loop_
_atom_site_label
_atom_site_type_symbol
_atom_site_fract_x
_atom_site_fract_y
_atom_site_fract_z
Ag1 Ag 0.000 0.000 0.000
Bi1 Bi 0.000 0.000 0.500
Bi2 Bi 0.500 0.500 0.000
Pd1 Pd 0.000 0.500 0.263
```

---

Number 1: V 377 Å³ per cell. Number 2: V 140 Å³ per cell. Number 3: V 413 Å³ per cell. Number 4: V 330 Å³ per cell. Number 5: V 615 Å³ per cell. Number 6: V 324 Å³ per cell. Number 7: V 549 Å³ per cell. Number 8: V 395 Å³ per cell. Number 9: V 1047 Å³ per cell. Number 10: V 141 Å³ per cell.